# 1
Material: Zr2SbOs2
Method: DFT, PBEsol
State: relaxed

Computed properties:
* formation energy from raw total energies: -0.0354 eV per atom
* symmetry: No. 139
* E_tot: -47.35 eV/cell
* V: 100.3 Å³/cell

Structure (CIF):
```
data_Zr2SbOs2
_chemical_formula_sum 'Zr2 Sb1 Os2'
_cell_length_a 3.564
_cell_length_b 3.564
_cell_length_c 8.286
_cell_angle_alpha 102.42
_cell_angle_beta 102.42
_cell_angle_gamma 90.00
_space_group_name_H-M_alt 'P 1'
_space_group_IT_number 1
_space_group_name_Hall 'P 1'
loop_
_atom_site_label
_atom_site_fract_x
_atom_site_fract_y
_atom_site_fract_z
Sb1 0.000 0.000 0.000
Os1 0.250 0.750 0.500
Os2 0.750 0.250 0.500
Zr1 0.390 0.390 0.780
Zr2 0.610 0.610 0.220
```



# 2
Material: ZrSbOs2
Method: DFT, PBEsol
State: relaxed

Computed properties:
* formation energy from raw total energies: 0.0553 eV per atom
* symmetry: No. 8
* E_tot: -37.86 eV/cell
* V: 68.6 Å³/cell

Structure (CIF):
```
data_ZrSbOs2
_chemical_formula_sum 'Zr1 Sb1 Os2'
_cell_length_a 3.081
_cell_length_b 4.722
_cell_length_c 5.252
_cell_angle_alpha 109.10
_cell_angle_beta 107.06
_cell_angle_gamma 90.00
_space_group_name_H-M_alt 'P 1'
_space_group_IT_number 1
_space_group_name_Hall 'P 1'
loop_
_atom_site_label
_atom_site_fract_x
_atom_site_fract_y
_atom_site_fract_z
Os1 0.018 0.067 0.036
Os2 0.747 0.197 0.494
Sb1 0.484 0.508 0.969
Zr1 0.251 0.727 0.501
```



# 3
Material: ZrSbOs2
Method: DFT, PBEsol
State: relaxed

Computed properties:
* formation energy from raw total energies: 0.0232 eV per atom
* symmetry: No. 123
* E_tot: -37.99 eV/cell
* V: 68.8 Å³/cell

Structure (CIF):
```
data_ZrSbOs2
_chemical_formula_sum 'Zr1 Sb1 Os2'
_cell_length_a 3.303
_cell_length_b 3.303
_cell_length_c 6.308
_cell_angle_alpha 90.00
_cell_angle_beta 90.00
_cell_angle_gamma 90.00
_space_group_name_H-M_alt 'P 1'
_space_group_IT_number 1
_space_group_name_Hall 'P 1'
loop_
_atom_site_label
_atom_site_fract_x
_atom_site_fract_y
_atom_site_fract_z
Os1 0.000 0.000 0.748
Os2 0.000 0.000 0.252
Sb1 0.500 0.500 0.000
Zr1 0.500 0.500 0.500
```



# 4
Material: ScOs2
Method: DFT, PBEsol
State: relaxed

Computed properties:
* symmetry: No. 194
* formation energy: -0.328 eV/atom
* E_tot: -256.17 eV/cell
* V: 391.5 Å³/cell

Structure (CIF):
```
data_ScOs2
_chemical_formula_sum 'Sc8 Os16'
_cell_length_a 5.150
_cell_length_b 5.150
_cell_length_c 17.043
_cell_angle_alpha 90.00
_cell_angle_beta 90.00
_cell_angle_gamma 120.00
_space_group_name_H-M_alt 'P 1'
_space_group_IT_number 1
_space_group_name_Hall 'P 1'
loop_
_atom_site_label
_atom_site_fract_x
_atom_site_fract_y
_atom_site_fract_z
Os1 0.333 0.667 0.874
Os2 0.667 0.333 0.126
Os3 0.667 0.333 0.374
Os4 0.333 0.667 0.626
Os5 0.000 0.500 0.000
Os6 0.500 0.000 0.000
Os7 0.500 0.500 0.000
Os8 0.000 0.500 0.500
Os9 0.500 0.000 0.500
Os10 0.500 0.500 0.500
Os11 0.677 0.839 0.750
Os12 0.161 0.323 0.750
Os13 0.161 0.839 0.750
Os14 0.323 0.161 0.250
Os15 0.839 0.677 0.250
Os16 0.839 0.161 0.250
Sc1 0.000 0.000 0.909
Sc2 0.000 0.000 0.091
Sc3 0.000 0.000 0.409
Sc4 0.000 0.000 0.591
Sc5 0.333 0.667 0.156
Sc6 0.667 0.333 0.844
Sc7 0.667 0.333 0.656
Sc8 0.333 0.667 0.344
```



# 5
Material: Sc3Os
Method: DFT, PBEsol
State: relaxed

Computed properties:
* symmetry: No. 62
* formation energy: -0.309 eV/atom
* E_tot: -133.06 eV/cell
* V: 329.8 Å³/cell

Structure (CIF):
```
data_Sc3Os
_chemical_formula_sum 'Sc12 Os4'
_cell_length_a 5.776
_cell_length_b 6.907
_cell_length_c 8.267
_cell_angle_alpha 90.00
_cell_angle_beta 90.00
_cell_angle_gamma 90.00
_space_group_name_H-M_alt 'P 1'
_space_group_IT_number 1
_space_group_name_Hall 'P 1'
loop_
_atom_site_label
_atom_site_fract_x
_atom_site_fract_y
_atom_site_fract_z
Os1 0.539 0.117 0.750
Os2 0.039 0.383 0.250
Os3 0.961 0.617 0.750
Os4 0.461 0.883 0.250
Sc1 0.885 0.035 0.250
Sc2 0.336 0.177 0.059
Sc3 0.336 0.177 0.441
Sc4 0.836 0.323 0.559
Sc5 0.836 0.323 0.941
Sc6 0.385 0.465 0.750
Sc7 0.615 0.535 0.250
Sc8 0.164 0.677 0.059
Sc9 0.164 0.677 0.441
Sc10 0.664 0.823 0.559
Sc11 0.664 0.823 0.941
Sc12 0.115 0.965 0.750
```



# 6
Material: Sc5Os
Method: DFT, PBEsol
State: relaxed

Computed properties:
* symmetry: No. 12
* formation energy: -0.185 eV/atom
* E_tot: -46.35 eV/cell
* V: 127.3 Å³/cell

Structure (CIF):
```
data_Sc5Os
_chemical_formula_sum 'Sc5 Os1'
_cell_length_a 3.279
_cell_length_b 5.772
_cell_length_c 7.554
_cell_angle_alpha 110.88
_cell_angle_beta 90.00
_cell_angle_gamma 106.50
_space_group_name_H-M_alt 'P 1'
_space_group_IT_number 1
_space_group_name_Hall 'P 1'
loop_
_atom_site_label
_atom_site_fract_x
_atom_site_fract_y
_atom_site_fract_z
Sc1 0.138 0.276 0.364
Sc2 0.839 0.677 0.214
Sc3 0.500 0.000 0.000
Sc4 0.161 0.323 0.786
Sc5 0.862 0.724 0.636
Os1 0.500 0.000 0.500
```



# 7
Material: ScOs2
Method: DFT, PBEsol
State: relaxed

Computed properties:
* symmetry: No. 225
* formation energy: 1.213 eV/atom
* E_tot: -27.40 eV/cell
* V: 53.1 Å³/cell

Structure (CIF):
```
data_ScOs2
_chemical_formula_sum 'Sc1 Os2'
_cell_length_a 4.218
_cell_length_b 4.218
_cell_length_c 4.218
_cell_angle_alpha 60.00
_cell_angle_beta 60.00
_cell_angle_gamma 60.00
_space_group_name_H-M_alt 'P 1'
_space_group_IT_number 1
_space_group_name_Hall 'P 1'
loop_
_atom_site_label
_atom_site_fract_x
_atom_site_fract_y
_atom_site_fract_z
Os1 0.750 0.750 0.750
Os2 0.250 0.250 0.250
Sc1 0.000 0.000 0.000
```



# 8
Material: Sc3Os2
Method: DFT, PBEsol
State: relaxed

Computed properties:
* symmetry: No. 166
* formation energy: -0.008 eV/atom
* E_tot: -44.29 eV/cell
* V: 90.1 Å³/cell

Structure (CIF):
```
data_Sc3Os2
_chemical_formula_sum 'Sc3 Os2'
_cell_length_a 3.072
_cell_length_b 3.072
_cell_length_c 11.167
_cell_angle_alpha 82.09
_cell_angle_beta 82.09
_cell_angle_gamma 60.00
_space_group_name_H-M_alt 'P 1'
_space_group_IT_number 1
_space_group_name_Hall 'P 1'
loop_
_atom_site_label
_atom_site_fract_x
_atom_site_fract_y
_atom_site_fract_z
Os1 0.604 0.604 0.189
Os2 0.396 0.396 0.811
Sc1 0.000 0.000 0.000
Sc2 0.789 0.789 0.633
Sc3 0.211 0.211 0.367
```



# 9
Material: Sc3Os
Method: DFT, PBEsol
State: relaxed

Computed properties:
* symmetry: No. 221
* formation energy: 0.357 eV/atom
* E_tot: -30.60 eV/cell
* V: 127.9 Å³/cell

Structure (CIF):
```
data_Sc3Os
_chemical_formula_sum 'Sc3 Os1'
_cell_length_a 5.038
_cell_length_b 5.038
_cell_length_c 5.038
_cell_angle_alpha 90.00
_cell_angle_beta 90.00
_cell_angle_gamma 90.00
_space_group_name_H-M_alt 'P 1'
_space_group_IT_number 1
_space_group_name_Hall 'P 1'
loop_
_atom_site_label
_atom_site_fract_x
_atom_site_fract_y
_atom_site_fract_z
Os1 0.000 0.000 0.000
Sc1 0.500 0.000 0.000
Sc2 0.000 0.500 0.000
Sc3 0.000 0.000 0.500
```



# 10
Material: ScOs2
Method: DFT, PBEsol
State: relaxed

Computed properties:
* symmetry: No. 71
* formation energy: 0.059 eV/atom
* E_tot: -30.86 eV/cell
* V: 46.9 Å³/cell

Structure (CIF):
```
data_ScOs2
_chemical_formula_sum 'Sc1 Os2'
_cell_length_a 2.850
_cell_length_b 3.790
_cell_length_c 4.952
_cell_angle_alpha 112.50
_cell_angle_beta 106.72
_cell_angle_gamma 90.00
_space_group_name_H-M_alt 'P 1'
_space_group_IT_number 1
_space_group_name_Hall 'P 1'
loop_
_atom_site_label
_atom_site_fract_x
_atom_site_fract_y
_atom_site_fract_z
Os1 0.683 0.683 0.365
Os2 0.317 0.317 0.635
Sc1 0.000 0.000 0.000
```



# 11
Material: Sc3Os
Method: DFT, PBEsol
State: relaxed

Computed properties:
* symmetry: No. 71
* formation energy: -0.275 eV/atom
* E_tot: -33.13 eV/cell
* V: 78.1 Å³/cell

Structure (CIF):
```
data_Sc3Os
_chemical_formula_sum 'Sc3 Os1'
_cell_length_a 3.298
_cell_length_b 4.763
_cell_length_c 5.752
_cell_angle_alpha 114.46
_cell_angle_beta 106.66
_cell_angle_gamma 90.00
_space_group_name_H-M_alt 'P 1'
_space_group_IT_number 1
_space_group_name_Hall 'P 1'
loop_
_atom_site_label
_atom_site_fract_x
_atom_site_fract_y
_atom_site_fract_z
Sc1 0.707 0.207 0.414
Sc2 0.500 0.500 0.000
Sc3 0.293 0.793 0.586
Os1 0.000 0.000 0.000
```



# 12
Material: Sc5Os3
Method: DFT, PBEsol
State: relaxed

Computed properties:
* symmetry: No. 193
* formation energy: -0.298 eV/atom
* E_tot: -144.11 eV/cell
* V: 293.7 Å³/cell

Structure (CIF):
```
data_Sc5Os3
_chemical_formula_sum 'Sc10 Os6'
_cell_length_a 5.680
_cell_length_b 7.727
_cell_length_c 7.727
_cell_angle_alpha 120.00
_cell_angle_beta 90.00
_cell_angle_gamma 90.00
_space_group_name_H-M_alt 'P 1'
_space_group_IT_number 1
_space_group_name_Hall 'P 1'
loop_
_atom_site_label
_atom_site_fract_x
_atom_site_fract_y
_atom_site_fract_z
Os1 0.250 0.000 0.396
Os2 0.750 0.000 0.604
Os3 0.250 0.604 0.604
Os4 0.750 0.604 0.000
Os5 0.750 0.396 0.396
Os6 0.250 0.396 0.000
Sc1 0.750 0.000 0.259
Sc2 0.250 0.000 0.741
Sc3 0.750 0.741 0.741
Sc4 0.250 0.741 0.000
Sc5 0.000 0.667 0.333
Sc6 0.500 0.667 0.333
Sc7 0.000 0.333 0.667
Sc8 0.500 0.333 0.667
Sc9 0.250 0.259 0.259
Sc10 0.750 0.259 0.000
```